# BeCd2Te

A PBEsol-optimized structure of BeCd2Te (meta-GGA SCAN, Alexandria).

E above lowest polymorph	0.43	eV per formula unit
ΔE_f (raw)	332	meV/atom

Cell and atoms, written as POSCAR:
```
BeCd2Te
1.0
1.8741 -2.7464 0.0000
1.8741 2.7464 0.0000
0.0000 0.0000 8.3495
Be Cd Te
1 2 1
Direct
0.0000 0.0000 0.0000 Be
0.0000 0.0000 0.4876 Cd
0.5000 0.5000 0.2139 Cd
0.5000 0.5000 0.8158 Te
```